Computed, not measured: a relaxed structure of Ho6Ga2Co at the PBE level of DFT.

Geometry as CIF:
```
data_Ho6Ga2Co
_chemical_formula_sum 'Ho12 Ga4 Co2'
_symmetry_space_group_name_H-M 'P 1'
_symmetry_Int_Tables_number 1
_cell_length_a 5.940
_cell_length_b 8.242
_cell_length_c 9.444
_cell_angle_alpha 90.00
_cell_angle_beta 86.86
_cell_angle_gamma 90.00
loop_
_symmetry_equiv_pos_as_xyz
'x,y,z'
loop_
_atom_site_label
_atom_site_type_symbol
_atom_site_fract_x
_atom_site_fract_y
_atom_site_fract_z
_atom_site_occupancy
Ho1 Ho 0.383 0.818 0.054 1
Ho2 Ho 0.392 0.530 0.742 1
Ho3 Ho 0.108 0.030 0.758 1
Ga1 Ga 0.421 0.123 0.254 1
Ho4 Ho 0.608 0.470 0.258 1
Ho5 Ho 0.385 0.827 0.442 1
Ho6 Ho 0.617 0.182 0.946 1
Ho7 Ho 0.885 0.673 0.942 1
Ho8 Ho 0.892 0.970 0.242 1
Co1 Co 0.500 0.500 0.000 1
Ga2 Ga 0.921 0.377 0.754 1
Ga3 Ga 0.579 0.877 0.746 1
Ho9 Ho 0.883 0.682 0.554 1
Ho10 Ho 0.115 0.327 0.058 1
Ho11 Ho 0.615 0.173 0.558 1
Co2 Co 0.000 0.000 0.500 1
Ho12 Ho 0.117 0.318 0.446 1
Ga4 Ga 0.079 0.623 0.246 1
```

Properties
- DFT formation energy (eV per formula unit) = -2.5
- SG = No. 14
- VASP energy (eV per atom) = -4.797
- D(E_F) (states/eV per cell) = 17.66

Computed, not measured: a relaxed structure of SeCl2 at the PBE level of DFT.

Geometry as CIF:
```
data_SeCl2
_chemical_formula_sum 'Se4 Cl8'
_symmetry_space_group_name_H-M 'P 1'
_symmetry_Int_Tables_number 1
_cell_length_a 3.508
_cell_length_b 9.243
_cell_length_c 12.556
_cell_angle_alpha 90.00
_cell_angle_beta 90.00
_cell_angle_gamma 90.00
loop_
_symmetry_equiv_pos_as_xyz
'x,y,z'
loop_
_atom_site_label
_atom_site_type_symbol
_atom_site_fract_x
_atom_site_fract_y
_atom_site_fract_z
_atom_site_occupancy
Cl1 Cl 0.750 0.291 0.997 1
Cl2 Cl 0.250 0.949 0.789 1
Cl3 Cl 0.750 0.051 0.211 1
Se1 Se 0.250 0.172 0.104 1
Se2 Se 0.250 0.672 0.396 1
Se3 Se 0.750 0.828 0.896 1
Cl4 Cl 0.250 0.709 0.003 1
Cl5 Cl 0.250 0.449 0.711 1
Cl6 Cl 0.750 0.791 0.503 1
Se4 Se 0.750 0.328 0.604 1
Cl7 Cl 0.750 0.551 0.289 1
Cl8 Cl 0.250 0.209 0.497 1
```

Properties
- formation energy (no corrections) (eV/atom) = -0.12
- SG = No. 62
- VASP energy (eV per atom) = -2.515

Computed, not measured: a relaxed structure of In3CoN at the PBE level of DFT.

Geometry as CIF:
```
data_In3CoN
_chemical_formula_sum 'In3 Co1 N1'
_symmetry_space_group_name_H-M 'P 1'
_symmetry_Int_Tables_number 1
_cell_length_a 4.920
_cell_length_b 4.920
_cell_length_c 4.920
_cell_angle_alpha 90.00
_cell_angle_beta 90.00
_cell_angle_gamma 90.00
loop_
_symmetry_equiv_pos_as_xyz
'x,y,z'
loop_
_atom_site_label
_atom_site_type_symbol
_atom_site_fract_x
_atom_site_fract_y
_atom_site_fract_z
_atom_site_occupancy
In1 In 0.000 0.500 0.000 1
In2 In 0.000 0.000 0.500 1
N1 N 0.500 0.500 0.500 1
In3 In 0.500 0.000 0.000 1
Co1 Co 0.000 0.000 0.000 1
```

Properties
- formation energy (no corrections) (eV/atom) = 0.91
- SG = No. 221
- VASP energy (eV per atom) = -3.822
- ΔE to the lowest computed polymorph (meV/atom) = 70.9
- D(E_F) (states/eV per cell) = 3.39

Computed, not measured: a relaxed structure of BaIr2Rh at the PBE level of DFT.

Geometry as CIF:
```
data_BaIr2Rh
_chemical_formula_sum 'Ba1 Ir2 Rh1'
_symmetry_space_group_name_H-M 'P 1'
_symmetry_Int_Tables_number 1
_cell_length_a 2.961
_cell_length_b 5.036
_cell_length_c 5.302
_cell_angle_alpha 72.20
_cell_angle_beta 90.00
_cell_angle_gamma 90.00
loop_
_symmetry_equiv_pos_as_xyz
'x,y,z'
loop_
_atom_site_label
_atom_site_type_symbol
_atom_site_fract_x
_atom_site_fract_y
_atom_site_fract_z
_atom_site_occupancy
Ir1 Ir 0.500 0.500 0.000 1
Rh1 Rh 0.500 0.000 0.500 1
Ba1 Ba 0.000 0.500 0.500 1
Ir2 Ir 0.000 0.000 0.000 1
```

Properties
- DFT formation energy (eV per formula unit) = 2.6
- SG = No. 10
- VASP energy (eV per atom) = -6.089
- ΔE to the lowest computed polymorph (meV/atom) = 692.9
- D(E_F) (states/eV per cell) = 4.51

Computed, not measured: a relaxed structure of NdSmInAg at the PBE level of DFT.

Geometry as CIF:
```
data_NdSmInAg
_chemical_formula_sum 'Nd1 Sm1 In1 Ag1'
_symmetry_space_group_name_H-M 'P 1'
_symmetry_Int_Tables_number 1
_cell_length_a 5.390
_cell_length_b 5.390
_cell_length_c 5.390
_cell_angle_alpha 60.00
_cell_angle_beta 60.00
_cell_angle_gamma 60.00
loop_
_symmetry_equiv_pos_as_xyz
'x,y,z'
loop_
_atom_site_label
_atom_site_type_symbol
_atom_site_fract_x
_atom_site_fract_y
_atom_site_fract_z
_atom_site_occupancy
Ag1 Ag 0.250 0.250 0.250 1
Sm1 Sm 0.000 0.000 0.000 1
Nd1 Nd 0.500 0.500 0.500 1
In1 In 0.750 0.750 0.750 1
```

Properties
- DFT formation energy (eV per formula unit) = -1.5
- SG = No. 216
- VASP energy (eV per atom) = -4.140
- ΔE to the lowest computed polymorph (meV/atom) = 8.3
- D(E_F) (states/eV per cell) = 4.10

Computed, not measured: a relaxed structure of MnReSn at the PBE level of DFT.

Geometry as CIF:
```
data_MnReSn
_chemical_formula_sum 'Mn2 Re2 Sn2'
_symmetry_space_group_name_H-M 'P 1'
_symmetry_Int_Tables_number 1
_cell_length_a 4.244
_cell_length_b 4.244
_cell_length_c 5.843
_cell_angle_alpha 90.00
_cell_angle_beta 90.00
_cell_angle_gamma 90.00
loop_
_symmetry_equiv_pos_as_xyz
'x,y,z'
loop_
_atom_site_label
_atom_site_type_symbol
_atom_site_fract_x
_atom_site_fract_y
_atom_site_fract_z
_atom_site_occupancy
Re1 Re 0.000 0.000 0.500 1
Re2 Re 0.500 0.500 0.500 1
Sn1 Sn 0.000 0.000 0.000 1
Sn2 Sn 0.500 0.500 0.000 1
Mn1 Mn 0.000 0.500 0.301 1
Mn2 Mn 0.500 0.000 0.699 1
```

Properties
- DFT formation energy (eV per formula unit) = 0.6
- SG = No. 129
- VASP energy (eV per atom) = -8.330
- D(E_F) (states/eV per cell) = 2.31

Computed, not measured: a relaxed structure of KH2N at the PBE level of DFT.

Geometry as CIF:
```
data_KH2N
_chemical_formula_sum 'K1 H2 N1'
_symmetry_space_group_name_H-M 'P 1'
_symmetry_Int_Tables_number 1
_cell_length_a 2.612
_cell_length_b 4.263
_cell_length_c 3.893
_cell_angle_alpha 90.04
_cell_angle_beta 90.00
_cell_angle_gamma 90.00
loop_
_symmetry_equiv_pos_as_xyz
'x,y,z'
loop_
_atom_site_label
_atom_site_type_symbol
_atom_site_fract_x
_atom_site_fract_y
_atom_site_fract_z
_atom_site_occupancy
N1 N 0.500 0.000 0.500 1
H1 H 0.000 0.001 0.356 1
K1 K 0.500 0.500 0.000 1
H2 H 0.000 0.999 0.644 1
```

Properties
- SG = No. 47
- VASP energy (eV per atom) = -3.463
- ΔE to the lowest computed polymorph (meV/atom) = 939.8
- D(E_F) (states/eV per cell) = 0.85

Computed, not measured: a relaxed structure of Er4RuPb2 at the PBE level of DFT.

Geometry as CIF:
```
data_Er4RuPb2
_chemical_formula_sum 'Er4 Ru1 Pb2'
_symmetry_space_group_name_H-M 'P 1'
_symmetry_Int_Tables_number 1
_cell_length_a 3.480
_cell_length_b 8.626
_cell_length_c 7.996
_cell_angle_alpha 114.89
_cell_angle_beta 90.00
_cell_angle_gamma 90.00
loop_
_symmetry_equiv_pos_as_xyz
'x,y,z'
loop_
_atom_site_label
_atom_site_type_symbol
_atom_site_fract_x
_atom_site_fract_y
_atom_site_fract_z
_atom_site_occupancy
Er1 Er 0.000 0.745 0.004 1
Pb1 Pb 0.500 0.396 0.769 1
Ru1 Ru 0.000 0.071 0.071 1
Er2 Er 0.500 0.028 0.792 1
Pb2 Pb 0.500 0.747 0.374 1
Er3 Er 0.500 0.114 0.351 1
Er4 Er 0.000 0.398 0.139 1
```

Properties
- DFT formation energy (eV per formula unit) = -1.5
- SG = No. 10
- VASP energy (eV per atom) = -5.209
- ΔE to the lowest computed polymorph (meV/atom) = 218.0
- D(E_F) (states/eV per cell) = 4.09